An optimized crystal structure of MnCuBi3, computed with PBE.

Unit cell a=5.1876 b=5.1876 c=5.1876 alpha=90.00 beta=90.00 gamma=90.00
Sites, in units of the cell vectors:
Mn 0.0000 0.0000 0.0000
Cu 0.5000 0.5000 0.5000
Bi 0.0000 0.0000 0.5000
Bi 0.0000 0.5000 0.0000
Bi 0.5000 0.0000 0.0000

Its distance to the lowest polymorph of the same formula is 0.000 eV per atom. As for the volume: 27.9 Å³ per atom. Its space group is Pm-3m, No. 221. For the formation energy, the calculation gives 0.66 eV/atom.